CaCdNF2 after structural relaxation. Source: Alexandria, functional GGA-PBEsol.

energy relative to the elements, uncorrected	-1.19	eV/atom

a b c (Å): 4.236 4.318 4.318
angles (deg): 90.00 90.00 90.00
Each line ends with the local moment (μB).
Fractional coordinates of all 5 atoms:
1 N 0.500 0.000 0.000  0.47
2 Ca 0.500 0.500 0.500  0.00
3 F 0.000 0.000 0.500  0.02
4 F 0.000 0.500 0.000  0.02
5 Cd 0.000 0.000 0.000  0.05